A plane-wave DFT calculation with PBE was carried out for crystalline KReNi2Hg at its relaxed geometry.

a b c (Å): 4.4573 4.4573 5.0662
angles (deg): 90.00 90.00 90.00
Fractional coordinates of all 5 atoms:
K 0.0000 0.0000 0.0000
Re 0.0000 0.0000 0.5000
Ni 0.0000 0.5000 0.0000
Ni 0.5000 0.0000 0.0000
Hg 0.5000 0.5000 0.5000

Summary:
magnetic moment	2.95	μB/f.u.
energy	-2.49	eV per atom
volume	100.7	Å³/f.u.
formation energy from the elements	2596	meV per atom